{"formula": "Li2ZrAu", "functional": "GGA-PBE", "state": "relaxed", "polymorph_energy_mev_per_atom": 61, "ef_kj_per_mol_atoms": -16, "mass_density_g_cm3": 6.55, "lattice_angstrom": [[5.924, -0.009, -0.015], [3.075, 5.064, 0.015], [-3.806, -3.761, 2.542]], "species": ["Au", "Li", "Li", "Zr"], "fractional_positions": [[0.250, 0.750, 0.500], [0.031, 0.031, 0.000], [0.469, 0.469, 0.000], [0.750, 0.250, 0.500]]}

=====

{"formula": "Li2ZrAu", "functional": "GGA-PBE", "state": "relaxed", "polymorph_energy_mev_per_atom": 72, "ef_kj_per_mol_atoms": -15, "mass_density_g_cm3": 6.70, "lattice_angstrom": [[-1.439, -1.174, -2.571], [-1.681, -3.613, 2.591], [-4.061, 2.651, 1.062]], "species": ["Au", "Li", "Li", "Zr"], "fractional_positions": [[0.000, 0.500, 0.500], [0.000, 0.000, 0.000], [0.500, 0.500, 0.000], [0.500, 0.000, 0.500]]}

=====

{"formula": "Li4ZrAu", "functional": "GGA-PBE", "state": "relaxed", "ef_kj_per_mol_atoms": -2, "mass_density_g_cm3": 5.62, "lattice_angstrom": [[-3.443, 2.210, 3.031], [-0.657, 5.047, -0.149], [-4.260, 1.955, -1.988]], "species": ["Li", "Li", "Li", "Li", "Zr", "Au"], "fractional_positions": [[0.373, 0.881, 0.373], [0.881, 0.373, 0.373], [0.373, 0.373, 0.881], [0.373, 0.373, 0.373], [0.750, 0.750, 0.750], [0.000, 0.000, 0.000]]}

=====

{"formula": "Li2ZrAu", "functional": "GGA-PBE", "state": "relaxed", "polymorph_energy_mev_per_atom": 136, "ef_kj_per_mol_atoms": -8, "mass_density_g_cm3": 6.79, "lattice_angstrom": [[9.700, -0.024, -0.014], [9.247, 2.930, -0.014], [9.247, 1.418, 2.564]], "species": ["Au", "Li", "Li", "Zr"], "fractional_positions": [[0.250, 0.250, 0.250], [0.988, 0.988, 0.988], [0.512, 0.512, 0.512], [0.750, 0.750, 0.750]]}

=====

{"formula": "Li2ZrAu", "functional": "GGA-PBE", "state": "relaxed", "polymorph_energy_mev_per_atom": 0, "ef_kj_per_mol_atoms": -21, "mass_density_g_cm3": 7.24, "lattice_angstrom": [[4.613, -0.009, -0.008], [0.028, 4.613, 0.008], [-2.314, -2.309, 3.255]], "species": ["Au", "Li", "Li", "Zr"], "fractional_positions": [[0.250, 0.750, 0.500], [0.000, 0.000, 0.000], [0.750, 0.250, 0.500], [0.500, 0.500, 0.000]]}

=====

{"formula": "Li2ZrAu2", "functional": "GGA-PBE", "state": "relaxed", "polymorph_energy_mev_per_atom": 0, "ef_kj_per_mol_atoms": -42, "mass_density_g_cm3": 10.01, "lattice_angstrom": [[-6.560, 3.877, -0.031], [-3.561, -6.047, -2.970], [-0.574, -0.951, 2.625]], "species": ["Au", "Au", "Au", "Au", "Zr", "Zr", "Li", "Li", "Li", "Li"], "fractional_positions": [[0.186, 0.686, 0.500], [0.686, 0.814, 0.500], [0.814, 0.314, 0.500], [0.314, 0.186, 0.500], [0.000, 0.000, 0.000], [0.500, 0.500, 0.000], [0.388, 0.888, 0.000], [0.888, 0.612, 0.000], [0.612, 0.112, 0.000], [0.112, 0.388, 0.000]]}

=====

| no. | calculated volume (Å³ per cell) |
| --- | --- |
| 1 | 76.5 |
| 2 | 74.9 |
| 3 | 93.3 |
| 4 | 73.8 |
| 5 | 69.3 |
| 6 | 165.5 |